# TaInOsRu PBE relaxed
# SG: F-43m
# crystal system: cubic
# total magnetic moment: 0.0 μB per formula unit
# DOS at the Fermi energy: 0.33 states/eV/cell
# total DFT energy (no corrections): -35.852 eV per cell
data_TaInOsRu
_chemical_formula_sum 'Ta1 In1 Os1 Ru1'
_cell_length_a 4.520
_cell_length_b 4.520
_cell_length_c 4.520
_cell_angle_alpha 60.00
_cell_angle_beta 60.00
_cell_angle_gamma 60.00
_symmetry_space_group_name_H-M 'P 1'
_symmetry_Int_Tables_number 1
loop_
_symmetry_equiv_pos_as_xyz
'x,y,z'
loop_
_atom_site_label
_atom_site_fract_x
_atom_site_fract_y
_atom_site_fract_z
Ru1 0.000 0.000 0.000
In1 0.250 0.250 0.250
Os1 0.500 0.500 0.500
Ta1 0.750 0.750 0.750



# Tm5In2OsRu2 PBE relaxed
# SG: P4/mbm
# crystal system: tetragonal
# total magnetic moment: 0.0 μB per formula unit
# DOS at the Fermi energy: 13.97 states/eV/cell
# total DFT energy (no corrections): -121.287 eV per cell
data_Tm5In2OsRu2
_chemical_formula_sum 'Tm10 In4 Os2 Ru4'
_cell_length_a 3.430
_cell_length_b 11.529
_cell_length_c 11.529
_cell_angle_alpha 90.00
_cell_angle_beta 90.00
_cell_angle_gamma 90.00
_symmetry_space_group_name_H-M 'P 1'
_symmetry_Int_Tables_number 1
loop_
_symmetry_equiv_pos_as_xyz
'x,y,z'
loop_
_atom_site_label
_atom_site_fract_x
_atom_site_fract_y
_atom_site_fract_z
Tm1 0.500 0.196 0.059
Tm2 0.500 0.804 0.941
Tm3 0.500 0.059 0.804
Tm4 0.500 0.696 0.441
Tm5 0.500 0.941 0.196
Tm6 0.500 0.304 0.559
Tm7 0.500 0.559 0.696
Tm8 0.500 0.441 0.304
Tm9 0.500 0.500 0.000
Tm10 0.500 0.000 0.500
In1 0.000 0.684 0.184
In2 0.000 0.316 0.816
In3 0.000 0.184 0.316
In4 0.000 0.816 0.684
Os1 0.000 0.000 0.000
Os2 0.000 0.500 0.500
Ru1 0.000 0.136 0.636
Ru2 0.000 0.864 0.364
Ru3 0.000 0.636 0.864
Ru4 0.000 0.364 0.136